Compound: Dy2HoSc
Source: the Alexandria database
Functional: PBE-GGA
Structure: optimized geometry

POSCAR file:
```
Dy2HoSc
1.0
-2.573 0.343 2.334
0.053 -3.445 0.564
6.545 1.251 7.031
Sc Ho Dy
1 1 2
direct
0.500 0.500 0.000
0.500 0.500 0.500
0.000 0.000 0.760
0.000 0.000 0.240
```

Results
Crystal system = tetragonal
Space group = P4/mmm, No. 123
Total magnetization = 0.0 μB per formula unit
Relative energy among the computed polymorphs = 9 meV per atom
Formation enthalpy at 0 K = 0.039 eV/atom
N(E_F) = 6.0 states/eV per cell
Energy = -20.0 eV/cell